1.
Material: HfScSiNi2
Method: DFT, PBE
State: optimized geometry

Cell lengths 4.305, 4.305, 4.845 Å; angles 90.00, 90.00, 90.00 degrees
Space group P4/mmm (No. 123)
Unique sites:
Hf 0.000 0.000 0.000 (multiplicity 1)
Sc 0.500 0.500 0.000 (multiplicity 1)
Si 0.000 0.000 0.500 (multiplicity 1)
Ni 0.000 0.500 0.500 (multiplicity 2)

## Properties
The calculation puts the density of states at the Fermi level at 6.06 states/eV/f.u. Its total energy is -6.545 eV per atom.


2.
Material: TiCr4W3
Method: DFT, PBE
State: optimized geometry

Cell lengths 3.017, 4.296, 8.552 Å; angles 90.00, 90.00, 90.00 degrees
Space group Pmmm (No. 47)
Unique sites:
Ti 0.000 0.000 0.000 (multiplicity 1)
Cr 0.500 0.000 0.254 (multiplicity 2)
Cr 0.500 0.500 0.000 (multiplicity 1)
Cr 0.500 0.500 0.500 (multiplicity 1)
W 0.000 0.000 0.500 (multiplicity 1)
W 0.000 0.500 0.248 (multiplicity 2)

## Properties
The calculation puts the density of states at the Fermi level at 4.75 states/eV/f.u. The calculation puts the energy relative to the elements at -0.02 eV/atom.